(1)
Tb6Er12Th: optimized geometry, PBE-GGA.

Output
Energy relative to the lowest polymorph listed for this composition   0 meV per atom
Crystal system   trigonal

Lattice parameters (Å, degrees): 8.4716 8.4716 8.4716 88.67 88.67 88.67
Sites, in units of the cell vectors:
Er1 0.3474 0.0084 0.2141
Er2 0.6526 0.9916 0.7859
Er3 0.9916 0.7859 0.6526
Er4 0.4564 0.5608 0.2272
Er5 0.4392 0.7728 0.5436
Er6 0.0084 0.2141 0.3474
Er7 0.5608 0.2272 0.4564
Er8 0.7728 0.5436 0.4392
Er9 0.2272 0.4564 0.5608
Er10 0.2141 0.3474 0.0084
Er11 0.7859 0.6526 0.9916
Er12 0.5436 0.4392 0.7728
Tb1 0.9112 0.3138 0.7457
Tb2 0.3138 0.7457 0.9112
Tb3 0.2543 0.0888 0.6862
Tb4 0.6862 0.2543 0.0888
Tb5 0.0888 0.6862 0.2543
Tb6 0.7457 0.9112 0.3138
Th1 0.0000 0.0000 0.0000

(2)
ZrAl2Au: optimized geometry, PBE-GGA.

Output
Crystal system   tetragonal

Lattice parameters (Å, degrees): 7.3874 7.3874 5.9648 51.74 51.74 90.00
Sites, in units of the cell vectors:
Au1 0.7500 0.2500 0.5000
Au2 0.0000 0.0000 0.0000
Al1 0.0896 0.6250 0.2500
Al2 0.6604 0.1250 0.2500
Al3 0.3750 0.3396 0.7500
Al4 0.8750 0.9104 0.7500
Zr1 0.2500 0.7500 0.5000
Zr2 0.5000 0.5000 0.0000

(3)
SrHfIr3: optimized geometry, PBE-GGA.

Output
Energy relative to the lowest polymorph listed for this composition   1614 meV per atom
Crystal system   cubic

Lattice parameters (Å, degrees): 4.8392 4.8392 4.8392 90.00 90.00 90.00
Sites, in units of the cell vectors:
Ir1 0.0000 0.5000 0.0000
Ir2 0.5000 0.0000 0.0000
Ir3 0.0000 0.0000 0.5000
Hf1 0.5000 0.5000 0.5000
Sr1 0.0000 0.0000 0.0000

(4)
Cs2InSCl: optimized geometry, PBE-GGA.

Output
Formation energy (no corrections)   -0.912 eV per atom
Crystal system   tetragonal

Lattice parameters (Å, degrees): 6.8188 5.3258 6.8188 90.00 90.00 90.00
Sites, in units of the cell vectors:
In1 0.0000 0.5000 0.0000
S1 0.0000 0.0000 0.0000
Cs1 0.5000 0.0000 0.0000
Cs2 0.0000 0.0000 0.5000
Cl1 0.5000 0.5000 0.5000

(5)
CaFe2Rh: optimized geometry, PBE-GGA.

Output
Crystal system   monoclinic

Lattice parameters (Å, degrees): 4.2512 2.8963 5.7033 75.72 90.00 90.00
Sites, in units of the cell vectors:
Rh1 0.5000 0.2500 0.2500
Ca1 0.5000 0.7500 0.7500
Fe1 0.0000 0.0156 0.0648
Fe2 0.0000 0.4844 0.4352

(6)
Mg3SbCl: optimized geometry, PBE-GGA.

Output
Energy relative to the lowest polymorph listed for this composition   28 meV per atom
Formation energy (no corrections)   -0.025 eV per atom
Crystal system   cubic

Lattice parameters (Å, degrees): 5.6800 5.6800 5.6800 90.00 90.00 90.00
Sites, in units of the cell vectors:
Mg1 0.0000 0.5000 0.0000
Mg2 0.5000 0.0000 0.0000
Mg3 0.0000 0.0000 0.5000
Sb1 0.0000 0.0000 0.0000
Cl1 0.5000 0.5000 0.5000

(7)
TlCd2H2: optimized geometry, PBE-GGA.

Output
Energy relative to the lowest polymorph listed for this composition   231 meV per atom
Crystal system   tetragonal

Lattice parameters (Å, degrees): 7.6012 7.6012 3.0576 90.00 90.00 90.00
Sites, in units of the cell vectors:
H1 0.8834 0.6166 0.0000
H2 0.1166 0.3834 0.0000
H3 0.3834 0.8834 0.0000
H4 0.6166 0.1166 0.0000
Tl1 0.0000 0.0000 0.0000
Tl2 0.5000 0.5000 0.0000
Cd1 0.6341 0.8659 0.5000
Cd2 0.1341 0.6341 0.5000
Cd3 0.3659 0.1341 0.5000
Cd4 0.8659 0.3659 0.5000

(8)
SmPuCO: optimized geometry, PBE-GGA.

Output
Formation energy (no corrections)   -1.448 eV per atom
Crystal system   tetragonal

Lattice parameters (Å, degrees): 3.5196 3.5196 5.1142 90.00 90.00 90.00
Sites, in units of the cell vectors:
Pu1 0.5000 0.5000 0.0000
C1 0.0000 0.0000 0.0000
Sm1 0.0000 0.0000 0.5000
O1 0.5000 0.5000 0.5000

Number 1: electronic total energy -87.09 eV per formula unit, size of the total moment 0.000 μB/atom. Number 2: electronic total energy -20.26 eV per formula unit, size of the total moment 0.000 μB/atom. Number 3: electronic total energy -27.35 eV per formula unit, size of the total moment 0.000 μB/atom. Number 4: electronic total energy -14.98 eV per formula unit, size of the total moment 0.000 μB/atom. Number 5: electronic total energy -25.17 eV per formula unit, size of the total moment 1.548 μB/atom. Number 6: electronic total energy -10.88 eV per formula unit, size of the total moment 0.000 μB/atom. Number 7: electronic total energy -8.30 eV per formula unit, size of the total moment 0.000 μB/atom. Number 8: electronic total energy -39.03 eV per formula unit, size of the total moment 1.173 μB/atom.